[1]
{"formula": "K2CuMo", "functional": "PBE", "state": "optimized geometry", "lattice_angstrom": [[3.7247, -2.1533, 0.0000], [3.7247, 2.1533, 0.0000], [-2.2433, 0.0000, 9.3807]], "species": ["K", "K", "Cu", "Mo"], "fractional_positions": [[0.0000, 0.0000, 0.0000], [0.1618, 0.1618, 0.5365], [0.4142, 0.4142, 0.2688], [0.7476, 0.7476, 0.2681]], "relative_energy_mev_per_atom": 137, "formation_energy_mev_per_atom": 1003}

---

[2]
{"formula": "LaNb6Se8", "functional": "PBE", "state": "optimized geometry", "lattice_angstrom": [[4.7643, 2.7507, 4.2162], [-4.7643, 2.7507, 4.2162], [0.0000, -5.5014, 4.2162]], "species": ["La", "Nb", "Nb", "Nb", "Nb", "Nb", "Nb", "Se", "Se", "Se", "Se", "Se", "Se", "Se", "Se"], "fractional_positions": [[0.0000, 0.0000, 0.0000], [0.2110, 0.5535, 0.4137], [0.4137, 0.2110, 0.5535], [0.4465, 0.5863, 0.7890], [0.5535, 0.4137, 0.2110], [0.5863, 0.7890, 0.4465], [0.7890, 0.4465, 0.5863], [0.1255, 0.3910, 0.7648], [0.2345, 0.2345, 0.2345], [0.2352, 0.8745, 0.6090], [0.3910, 0.7648, 0.1255], [0.6090, 0.2352, 0.8745], [0.7648, 0.1255, 0.3910], [0.7655, 0.7655, 0.7655], [0.8745, 0.6090, 0.2352]], "raw_formation_energy_kj_per_mol_atoms": -87.4}

---

[3]
{"formula": "SrZn3Si2", "functional": "PBE", "state": "optimized geometry", "lattice_angstrom": [[7.9984, -2.0956, 0.0000], [7.9984, 2.0956, 0.0000], [-2.9940, 0.0000, 6.8904]], "species": ["Sr", "Sr", "Zn", "Zn", "Zn", "Zn", "Zn", "Zn", "Si", "Si", "Si", "Si"], "fractional_positions": [[0.1507, 0.1507, 0.0721], [0.8493, 0.8493, 0.9279], [0.0394, 0.0394, 0.3758], [0.3237, 0.3237, 0.5685], [0.3942, 0.3942, 0.3000], [0.6058, 0.6058, 0.7000], [0.6763, 0.6763, 0.4315], [0.9606, 0.9606, 0.6242], [0.1924, 0.1924, 0.6703], [0.4865, 0.4865, 0.8304], [0.5135, 0.5135, 0.1696], [0.8076, 0.8076, 0.3297]], "raw_formation_energy_kj_per_mol_atoms": -18.5}

---

[4]
{"formula": "Pu8Pt2Rh3", "functional": "PBE", "state": "optimized geometry", "lattice_angstrom": [[5.0195, 0.0000, 0.0000], [-2.2155, 6.8977, 0.0000], [-1.2148, -1.0587, 7.9238]], "species": ["Pu", "Pu", "Pu", "Pu", "Pu", "Pu", "Pu", "Pu", "Pt", "Pt", "Rh", "Rh", "Rh"], "fractional_positions": [[0.0386, 0.1338, 0.3336], [0.1538, 0.3784, 0.0195], [0.2470, 0.5903, 0.4094], [0.2968, 0.8995, 0.1165], [0.7032, 0.1005, 0.8835], [0.7530, 0.4097, 0.5906], [0.8462, 0.6216, 0.9805], [0.9614, 0.8662, 0.6664], [0.3714, 0.6744, 0.7881], [0.6286, 0.3256, 0.2119], [0.2387, 0.2566, 0.6898], [0.5000, 0.0000, 0.5000], [0.7613, 0.7434, 0.3102]], "relative_energy_mev_per_atom": 0, "formation_energy_mev_per_atom": -364}